{
  "formula": "KCo2H3Se2O10",
  "functional": "GGA+U",
  "state": "relaxed",
  "relative_energy_mev_per_atom": 328,
  "energy_ev_per_atom": -5.0322,
  "lattice_angstrom": [[6.505, -3.355, 0.000], [6.505, 3.355, 0.000], [-1.304, 0.000, 7.364]],
  "species": ["K", "Co", "Co", "H", "H", "H", "Se", "Se", "O", "O", "O", "O", "O", "O", "O", "O", "O", "O"],
  "frac_coords": [[0.000, 0.000, 0.000], [0.527, 0.973, 0.083], [0.973, 0.527, 0.083], [0.317, 0.317, 0.727], [0.366, 0.366, 0.799], [0.849, 0.849, 0.417], [0.378, 0.378, 0.301], [0.655, 0.655, 0.772], [0.011, 0.011, 0.559], [0.092, 0.092, 0.493], [0.196, 0.613, 0.183], [0.242, 0.242, 0.210], [0.413, 0.826, 0.886], [0.613, 0.196, 0.183], [0.722, 0.722, 0.239], [0.775, 0.775, 0.431], [0.785, 0.785, 0.890], [0.826, 0.413, 0.886]]
}